VASP calculation (PBE-GGA) on a relaxed structure of Zn6Cu12Ge.

```
data_Zn6Cu12Ge
_symmetry_space_group_name_H-M 'R -3'
_symmetry_Int_Tables_number 148
_symmetry_space_group_name_Hall '-R 3'
_cell_length_a 9.0227
_cell_length_b 9.0227
_cell_length_c 10.7582
_cell_angle_alpha 90.00
_cell_angle_beta 90.00
_cell_angle_gamma 120.00
loop_
_atom_site_label
_atom_site_type_symbol
_atom_site_fract_x
_atom_site_fract_y
_atom_site_fract_z
Zn1 Zn 0.0113 0.5882 0.2020
Cu1 Cu 0.0275 0.8467 0.3105
Cu2 Cu 0.0576 0.2057 0.9127
Ge1 Ge 0.0000 0.0000 0.5000
```

Summary:
Formation enthalpy at 0 K: 0.02 eV per atom

VASP calculation (PBE-GGA) on a relaxed structure of HfThZr3.

```
data_HfThZr3
_symmetry_space_group_name_H-M 'P -1'
_symmetry_Int_Tables_number 2
_symmetry_space_group_name_Hall '-P 1'
_cell_length_a 3.337
_cell_length_b 5.514
_cell_length_c 13.633
_cell_angle_alpha 87.65
_cell_angle_beta 82.99
_cell_angle_gamma 89.98
loop_
_atom_site_label
_atom_site_type_symbol
_atom_site_fract_x
_atom_site_fract_y
_atom_site_fract_z
Hf1 Hf 0.249 0.253 0.001
Th1 Th 0.053 0.250 0.397
Zr1 Zr 0.155 0.872 0.186
Zr2 Zr 0.343 0.617 0.813
Zr3 Zr 0.443 0.257 0.617
```

Summary:
Formation enthalpy at 0 K: 0.08 eV per atom

VASP calculation (PBE-GGA) on a relaxed structure of K2GaI4.

```
data_K2GaI4
_symmetry_space_group_name_H-M 'I -4 2 m'
_symmetry_Int_Tables_number 121
_symmetry_space_group_name_Hall 'I -4 2'
_cell_length_a 8.520
_cell_length_b 8.520
_cell_length_c 12.015
_cell_angle_alpha 90.00
_cell_angle_beta 90.00
_cell_angle_gamma 90.00
loop_
_atom_site_label
_atom_site_type_symbol
_atom_site_fract_x
_atom_site_fract_y
_atom_site_fract_z
K1 K 0.000 0.500 0.250
Ga1 Ga 0.000 0.000 0.000
I1 I 0.207 0.207 0.887
```

Summary:
Energy relative to the elements, uncorrected: -21.13 kcal/mol of atoms

VASP calculation (PBE-GGA) on a relaxed structure of ReAgSN2.

```
data_ReAgSN2
_symmetry_space_group_name_H-M 'P 4/m m m'
_symmetry_Int_Tables_number 123
_symmetry_space_group_name_Hall '-P 4 2'
_cell_length_a 3.820
_cell_length_b 3.820
_cell_length_c 5.186
_cell_angle_alpha 90.00
_cell_angle_beta 90.00
_cell_angle_gamma 90.00
loop_
_atom_site_label
_atom_site_type_symbol
_atom_site_fract_x
_atom_site_fract_y
_atom_site_fract_z
Re1 Re 0.000 0.000 0.000
Ag1 Ag 0.500 0.500 0.500
S1 S 0.000 0.000 0.500
N1 N 0.000 0.500 0.000
```

Summary:
Energy relative to the elements, uncorrected: 10.26 kcal/mol of atoms

VASP calculation (PBE-GGA) on a relaxed structure of HfAg.

```
data_HfAg
_symmetry_space_group_name_H-M 'P 4/n m m'
_symmetry_Int_Tables_number 129
_cell_length_a 4.304
_cell_length_b 4.304
_cell_length_c 4.226
_cell_angle_alpha 90.00
_cell_angle_beta 90.00
_cell_angle_gamma 90.00
loop_
_symmetry_equiv_pos_as_xyz
'x,y,z'
'-x,-y,-z'
'-y+1/2,x,z'
'y+1/2,-x,-z'
'-x+1/2,-y+1/2,z'
'x+1/2,y+1/2,-z'
'y,-x+1/2,z'
'-y,x+1/2,-z'
'x+1/2,-y,-z'
'-x+1/2,y,z'
'-y,-x,-z'
'y,x,z'
'-x,y+1/2,-z'
'x,-y+1/2,z'
'y+1/2,x+1/2,-z'
'-y+1/2,-x+1/2,z'
loop_
_atom_site_label
_atom_site_type_symbol
_atom_site_fract_x
_atom_site_fract_y
_atom_site_fract_z
Hf1 Hf 0.250 0.250 0.013
Ag1 Ag 0.250 0.750 0.500
```

Summary:
Formation enthalpy at 0 K: 0.08 eV per atom

VASP calculation (PBE-GGA) on a relaxed structure of Cd2IrBr.

```
data_Cd2IrBr
_symmetry_space_group_name_H-M 'C m m 2'
_symmetry_Int_Tables_number 35
_symmetry_space_group_name_Hall 'C 2 -2'
_cell_length_a 2.966
_cell_length_b 5.589
_cell_length_c 10.248
_cell_angle_alpha 90.00
_cell_angle_beta 90.00
_cell_angle_gamma 90.00
loop_
_atom_site_label
_atom_site_type_symbol
_atom_site_fract_x
_atom_site_fract_y
_atom_site_fract_z
Cd1 Cd 0.000 0.000 0.000
Cd2 Cd 0.000 0.500 0.270
Ir1 Ir 0.000 0.500 0.772
Br1 Br 0.000 0.000 0.568
```

Summary:
Energy relative to the elements, uncorrected: 10.10 kcal/mol of atoms

VASP calculation (PBE-GGA) on a relaxed structure of HfHgTeI2.

```
data_HfHgTeI2
_symmetry_space_group_name_H-M 'P 4/m m m'
_symmetry_Int_Tables_number 123
_symmetry_space_group_name_Hall '-P 4 2'
_cell_length_a 5.692
_cell_length_b 5.692
_cell_length_c 5.703
_cell_angle_alpha 90.00
_cell_angle_beta 90.00
_cell_angle_gamma 90.00
loop_
_atom_site_label
_atom_site_type_symbol
_atom_site_fract_x
_atom_site_fract_y
_atom_site_fract_z
Hf1 Hf 0.000 0.000 0.000
Hg1 Hg 0.500 0.500 0.500
Te1 Te 0.500 0.500 0.000
I1 I 0.000 0.500 0.500
```

Summary:
Energy relative to the elements, uncorrected: 18.63 kcal/mol of atoms